[1]
This record from Alexandria describes a geometry-optimized FeSnO6 structure. The functional is GGA+U.

Calculated values
Space-group type: Fm-3m, No. 225
Final energy, eV/atom: -5.148
Crystal system: cubic

abc: 5.5441 5.5441 5.5441
angles: 60.00 60.00 60.00
Last column: nearest neighbours and their distance in Å.
Positions (direct):
O 0.2624 0.7376 0.2624  1 Fe 1.86, 1 Sn 2.06
O 0.7376 0.2624 0.2624  1 Fe 1.86, 1 Sn 2.06
O 0.7376 0.2624 0.7376  1 Fe 1.86, 1 Sn 2.06
O 0.2624 0.7376 0.7376  1 Fe 1.86, 1 Sn 2.06
Fe 0.5000 0.5000 0.5000  6 O 1.86
O 0.2624 0.2624 0.7376  1 Fe 1.86, 1 Sn 2.06
O 0.7376 0.7376 0.2624  1 Fe 1.86, 1 Sn 2.06
Sn 0.0000 0.0000 0.0000  6 O 2.06

***

[2]
This record from Alexandria describes a geometry-optimized Fe3SnO6 structure. The functional is GGA+U.

Calculated values
Space-group type: P2_1/c, No. 14
Final energy, eV/atom: -6.448
Crystal system: monoclinic

abc: 5.2721 5.3589 7.7807
angles: 90.00 89.34 90.00
Last column: nearest neighbours and their distance in Å.
Positions (direct):
O 0.3621 0.5882 0.7490  3 Fe 2.06-2.14, 1 Sn 2.11
Fe 0.0000 0.0000 0.5000  6 O 1.98-2.14
O 0.6794 0.1776 0.5852  2 Fe 2.04-2.05, 1 Sn 2.08
O 0.8206 0.6776 0.9148  2 Fe 2.04-2.05, 1 Sn 2.08
O 0.6379 0.4118 0.2510  3 Fe 2.06-2.14, 1 Sn 2.11
O 0.1379 0.0882 0.7510  3 Fe 2.06-2.14, 1 Sn 2.11
Sn 0.5000 0.5000 0.5000  6 O 2.07-2.11
O 0.1649 0.3212 0.4390  2 Fe 1.98-2.02, 1 Sn 2.07
Sn 0.0000 0.0000 0.0000  6 O 2.07-2.11
Fe 0.5000 0.5000 0.0000  6 O 1.98-2.14
Fe 0.9976 0.4536 0.7366  4 O 2.02-2.10
Fe 0.4976 0.0464 0.2366  4 O 2.02-2.10
Fe 0.5024 0.9536 0.7634  4 O 2.02-2.10
O 0.6649 0.1788 0.9390  2 Fe 1.98-2.02, 1 Sn 2.07
O 0.8621 0.9118 0.2490  3 Fe 2.06-2.14, 1 Sn 2.11
O 0.8351 0.6788 0.5610  2 Fe 1.98-2.02, 1 Sn 2.07
Fe 0.0024 0.5464 0.2634  4 O 2.02-2.10
O 0.3206 0.8224 0.4148  2 Fe 2.04-2.05, 1 Sn 2.08
O 0.3351 0.8212 0.0610  2 Fe 1.98-2.02, 1 Sn 2.07
O 0.1794 0.3224 0.0852  2 Fe 2.04-2.05, 1 Sn 2.08

***

[3]
This record from Alexandria describes a geometry-optimized FeSnO3 structure. The functional is GGA+U.

Calculated values
Space-group type: Pnma, No. 62
Final energy, eV/atom: -6.402
Crystal system: orthorhombic

abc: 5.4493 5.4649 7.8582
angles: 90.00 90.00 90.00
Last column: nearest neighbours and their distance in Å.
Positions (direct):
O 0.8763 0.5835 0.7500  2 Fe 2.11-2.18, 2 Sn 2.13
O 0.8297 0.8254 0.0661  2 Sn 2.07-2.10, 1 Fe 2.08
O 0.8297 0.8255 0.4339  2 Sn 2.07-2.10, 1 Fe 2.08
Fe 0.9924 0.9646 0.7500  4 O 2.08-2.18
Sn 0.5000 0.0000 0.5000  6 O 2.07-2.13
Sn 0.0000 0.5000 0.0000  6 O 2.07-2.13
O 0.6703 0.3254 0.0661  2 Sn 2.07-2.10, 1 Fe 2.08
O 0.3763 0.9165 0.2500  2 Fe 2.11-2.18, 2 Sn 2.13
O 0.1703 0.1746 0.9339  2 Sn 2.07-2.10, 1 Fe 2.08
O 0.3297 0.6746 0.9338  2 Sn 2.07-2.10, 1 Fe 2.08
O 0.6703 0.3254 0.4339  2 Sn 2.07-2.10, 1 Fe 2.08
Sn 0.0000 0.5000 0.5000  6 O 2.07-2.13
Fe 0.5076 0.4646 0.7500  4 O 2.08-2.18
O 0.1237 0.4165 0.2500  2 Fe 2.11-2.18, 2 Sn 2.13
Fe 0.0076 0.0354 0.2500  4 O 2.08-2.18
O 0.1703 0.1746 0.5661  2 Sn 2.07-2.10, 1 Fe 2.08
Sn 0.5000 0.0000 0.0000  6 O 2.07-2.13
Fe 0.4924 0.5354 0.2500  4 O 2.08-2.18
O 0.6237 0.0835 0.7500  2 Fe 2.11-2.18, 2 Sn 2.13
O 0.3297 0.6746 0.5661  2 Sn 2.07-2.10, 1 Fe 2.08

***

[4]
This record from Alexandria describes a geometry-optimized FeSnO3 structure. The functional is GGA+U.

Calculated values
Space-group type: Pm-3m, No. 221
Final energy, eV/atom: -5.895
Crystal system: cubic

abc: 3.9561 3.9561 3.9561
angles: 90.00 90.00 90.00
Last column: nearest neighbours and their distance in Å.
Positions (direct):
O 0.0000 0.5000 0.0000  2 Fe 1.98
O 0.5000 0.0000 0.0000  2 Fe 1.98
Fe 0.0000 0.0000 0.0000  6 O 1.98
O 0.0000 0.0000 0.5000  2 Fe 1.98
Sn 0.5000 0.5000 0.5000  12 O 2.80

***

[5]
This record from Alexandria describes a geometry-optimized Fe4Sn2O9 structure. The functional is GGA+U.

Calculated values
Space-group type: P-1, No. 2
Final energy, eV/atom: -6.163
Crystal system: triclinic

abc: 5.2097 5.2092 14.0805
angles: 90.00 89.96 60.00
Last column: nearest neighbours and their distance in Å.
Positions (direct):
O 0.6306 0.0203 0.0758  3 Fe 1.99-2.19, 1 Sn 2.08
Fe 0.3328 0.3338 0.1825  6 O 2.04-2.19
O 0.3694 0.9797 0.9242  3 Fe 1.99-2.19, 1 Sn 2.08
O 0.0199 0.3489 0.0757  3 Fe 1.99-2.19, 1 Sn 2.08
Fe 0.3349 0.3340 0.6876  6 O 2.05-2.19
O 0.6354 0.3421 0.5813  3 Fe 2.00-2.18, 1 Sn 2.08
Sn 0.0002 0.0001 0.6490  6 O 2.07-2.15
O 0.9998 0.2986 0.7534  2 Fe 2.04-2.06, 2 Sn 2.14-2.16
Fe 0.6672 0.6662 0.8175  6 O 2.04-2.19
O 0.7026 0.2983 0.2466  2 Fe 2.05, 2 Sn 2.14-2.15
O 0.3489 0.6305 0.0758  3 Fe 1.99-2.19, 1 Sn 2.08
O 0.2974 0.7017 0.7534  2 Fe 2.05, 2 Sn 2.14-2.15
Fe 0.3329 0.3337 0.4837  6 O 2.00-2.11
Sn 0.9997 0.0001 0.1405  6 O 2.08-2.16
Fe 0.6651 0.6660 0.3124  6 O 2.05-2.19
O 0.0002 0.7014 0.2466  2 Fe 2.04-2.06, 2 Sn 2.14-2.16
Fe 0.3333 0.3334 0.9906  6 O 1.99
O 0.9801 0.6511 0.9243  3 Fe 1.99-2.19, 1 Sn 2.08
Sn 0.0003 0.9999 0.8595  6 O 2.08-2.16
O 0.2995 0.9991 0.2462  2 Fe 2.04-2.05, 2 Sn 2.15-2.16
Fe 0.6671 0.6663 0.5163  6 O 2.00-2.11
O 0.6511 0.3695 0.9242  3 Fe 1.99-2.19, 1 Sn 2.08
O 0.3426 0.0223 0.5816  3 Fe 2.00-2.19, 1 Sn 2.07
Sn 0.9998 0.9999 0.3510  6 O 2.07-2.15
O 0.9773 0.3646 0.4184  3 Fe 2.00-2.19, 1 Sn 2.07
O 0.6574 0.9777 0.4184  3 Fe 2.00-2.19, 1 Sn 2.07
O 0.7005 0.0009 0.7538  2 Fe 2.04-2.05, 2 Sn 2.15-2.16
O 0.0227 0.6354 0.5816  3 Fe 2.00-2.19, 1 Sn 2.07
Fe 0.6667 0.6666 0.0094  6 O 1.99
O 0.3646 0.6579 0.4187  3 Fe 2.00-2.18, 1 Sn 2.08

***

[6]
This record from Alexandria describes a geometry-optimized FeSnO3 structure. The functional is GGA+U.

Calculated values
Space-group type: Cmcm, No. 63
Final energy, eV/atom: -6.199
Crystal system: orthorhombic

abc: 3.2161 5.9815 8.3440
angles: 90.00 101.11 90.00
Last column: nearest neighbours and their distance in Å.
Positions (direct):
Sn 0.0916 0.7500 0.1832  4 O 1.97-1.99
Sn 0.9084 0.2500 0.8168  4 O 1.97-1.99
O 0.1554 0.0300 0.3108  1 Sn 1.97, 2 Fe 2.08
O 0.4798 0.2500 0.9596  2 Sn 1.99
Fe 0.3440 0.7500 0.6880  4 O 2.08
Fe 0.6560 0.2500 0.3120  4 O 2.08
O 0.1554 0.4700 0.3108  1 Sn 1.97, 2 Fe 2.08
O 0.8446 0.5300 0.6892  1 Sn 1.97, 2 Fe 2.08
O 0.5202 0.7500 0.0404  2 Sn 1.99
O 0.8446 0.9700 0.6892  1 Sn 1.97, 2 Fe 2.08

***

[7]
This record from Alexandria describes a geometry-optimized Fe2SnO4 structure. The functional is GGA+U.

Calculated values
Space-group type: C2/m, No. 12
Final energy, eV/atom: -6.479
Crystal system: monoclinic

abc: 3.2767 5.3135 6.1367
angles: 119.84 105.48 90.00
Last column: nearest neighbours and their distance in Å.
Positions (direct):
Fe 0.3115 0.2844 0.6229  4 O 1.99-2.12
O 0.1352 0.8668 0.2704  1 Sn 2.06, 3 Fe 2.06-2.12
O 0.6110 0.2833 0.2220  1 Fe 1.99, 2 Sn 2.15
Fe 0.6885 0.7156 0.3771  4 O 1.99-2.12
O 0.3890 0.7167 0.7780  1 Fe 1.99, 2 Sn 2.15
O 0.8648 0.1332 0.7296  1 Sn 2.06, 3 Fe 2.06-2.12
Sn 0.0000 0.0000 0.0000  6 O 2.06-2.15

***

[8]
This record from Alexandria describes a geometry-optimized FeSnO2 structure. The functional is GGA+U.

Calculated values
Space-group type: I-42d, No. 122
Final energy, eV/atom: -5.791
Crystal system: tetragonal

abc: 5.2534 5.2534 5.9559
angles: 63.83 63.83 90.00
Last column: nearest neighbours and their distance in Å.
Positions (direct):
O 0.2052 0.6250 0.2500  2 Fe 1.97
Sn 0.7500 0.2500 0.5000  4 O 2.47
O 0.8750 0.7948 0.7500  2 Fe 1.97
Fe 0.2500 0.7500 0.5000  4 O 1.97
Sn 0.0000 0.0000 0.0000  4 O 2.47
O 0.5448 0.1250 0.2500  2 Fe 1.97
Fe 0.5000 0.5000 0.0000  4 O 1.97
O 0.3750 0.4552 0.7500  2 Fe 1.97